{"formula": "YGa2IrF", "functional": "PBE-GGA", "state": "optimized geometry", "lattice_angstrom": [[5.4793, 0.0000, 0.0000], [0.0000, 5.4793, 0.0000], [0.0000, 0.0000, 4.0745]], "species": ["Y", "Ga", "Ga", "Ir", "F"], "frac_coords": [[0.0000, 0.0000, 0.0000], [0.0000, 0.5000, 0.0000], [0.5000, 0.0000, 0.0000], [0.5000, 0.5000, 0.5000], [0.0000, 0.0000, 0.5000]], "dos_at_fermi_per_ev_fu": 3.68, "raw_formation_energy_ev_per_atom": 0.091, "magmom_total_mub_per_fu": 0.459, "e_tot_ev_per_atom": -4.5594}